Below is a relaxed structure of Fe2NiAsN, with properties calculated at the PBE-GGA level.

The total energy comes out at -7.110 eV per atom. The calculation puts the formation energy without anion corrections at 26 meV per atom.

a = 3.864 Å, b = 3.864 Å, c = 3.792 Å
α = 90.00°, β = 90.00°, γ = 90.00°
Fractional coordinates of all 5 atoms:
1 Fe 0.500 0.000 0.000
2 Fe 0.000 0.500 0.000
3 N 0.000 0.000 0.000
4 As 0.500 0.500 0.500
5 Ni 0.000 0.000 0.500